(1)
LiCaHf2: relaxed, PBE.

Results
**Formation energy from the elements**: 2.60 eV per formula unit
**M_tot**: 0.000 μB/atom
**DOS at the Fermi energy**: 8.478 states/eV/cell
**Volume**: 24.97 Å³/atom
**Polymorph energy (0 for the lowest one)**: 0.0 meV/atom

Unit cell a=4.1087 b=4.1087 c=12.1830 alpha=80.29 beta=80.29 gamma=90.00
Last column: nearest neighbours and their distance in Å.
Positions (direct):
Ca 0.7500 0.2500 0.5000  4 Li 2.91
Ca 0.0000 0.0000 0.0000  4 Li 2.91
Li 0.5000 0.5000 0.0000  4 Ca 2.91
Li 0.2500 0.7500 0.5000  4 Ca 2.91
Hf 0.3750 0.8661 0.7500  4 Hf 2.85-2.96
Hf 0.8750 0.3839 0.7500  4 Hf 2.85-2.96
Hf 0.1339 0.1250 0.2500  4 Hf 2.85-2.96
Hf 0.6161 0.6250 0.2500  4 Hf 2.85-2.96

(2)
Mg3Sc2Ag: relaxed, PBE.

Results
**Formation energy from the elements**: -0.37 eV per formula unit
**M_tot**: 0.000 μB/atom
**DOS at the Fermi energy**: 5.489 states/eV/cell
**Volume**: 22.03 Å³/atom

Unit cell a=3.1372 b=4.9329 c=8.5398 alpha=90.00 beta=90.00 gamma=90.00
Last column: nearest neighbours and their distance in Å.
Positions (direct):
Sc 0.0000 0.0000 0.4877  8 Mg 3.14-3.33, 2 Sc 3.14, 4 Ag 3.21
Sc 0.0000 0.5000 0.0157  2 Ag 3.13, 2 Sc 3.14, 10 Mg 3.21-3.41
Mg 0.5000 0.5000 0.6617  1 Ag 2.81, 4 Mg 2.86-3.14
Mg 0.5000 0.0000 0.1697  2 Ag 2.83, 3 Mg 2.88-3.14, 2 Sc 3.14
Mg 0.5000 0.0000 0.8321  5 Mg 2.86-3.14
Ag 0.5000 0.5000 0.3331  3 Mg 2.81-2.83, 2 Sc 3.13, 2 Ag 3.14

(3)
YCdHg: relaxed, PBE.

Results
**Formation energy from the elements**: -1.16 eV per formula unit
**M_tot**: 0.000 μB/atom
**DOS at the Fermi energy**: 2.032 states/eV/cell
**Volume**: 24.51 Å³/atom

Unit cell a=4.9434 b=4.9434 c=3.4739 alpha=90.00 beta=90.00 gamma=120.00
Last column: nearest neighbours and their distance in Å.
Positions (direct):
Hg 0.6667 0.3333 0.1664  3 Cd 2.85
Cd 0.0000 0.0000 0.1667  3 Hg 2.85
Y 0.3333 0.6667 0.6669  6 Hg 3.34, 6 Cd 3.34, 2 Y 3.47

(4)
Cd3HgBi: relaxed, PBE.

Results
**Formation energy from the elements**: 1.46 eV per formula unit
**M_tot**: 0.000 μB/atom
**DOS at the Fermi energy**: 2.307 states/eV/cell
**Volume**: 41.99 Å³/atom
**Polymorph energy (0 for the lowest one)**: 238.9 meV/atom

Unit cell a=5.9435 b=5.9435 c=5.9435 alpha=90.00 beta=90.00 gamma=90.00
Last column: nearest neighbours and their distance in Å.
Positions (direct):
Hg 0.5000 0.5000 0.5000  12 Cd 4.20
Cd 0.0000 0.0000 0.5000  2 Bi 2.97
Cd 0.5000 0.0000 0.0000  2 Bi 2.97
Cd 0.0000 0.5000 0.0000  2 Bi 2.97
Bi 0.0000 0.0000 0.0000  6 Cd 2.97

(5)
AsPBr2: relaxed, PBE.

Results
**M_tot**: 0.000 μB/atom
**DOS at the Fermi energy**: 2.618 states/eV/cell
**Formation energy without anion corrections**: 614.7 meV per atom
**Volume**: 23.25 Å³/atom
**Polymorph energy (0 for the lowest one)**: 777.6 meV/atom

Unit cell a=9.7523 b=9.7523 c=9.7523 alpha=19.79 beta=19.79 gamma=19.79
Last column: nearest neighbours and their distance in Å.
Positions (direct):
As 0.0000 0.0000 0.0000  2 Br 2.64
Br 0.9080 0.9080 0.9080  1 As 2.64, 3 P 2.89
Br 0.0920 0.0920 0.0920  1 As 2.64, 3 P 2.89
P 0.5000 0.5000 0.5000  6 Br 2.89

(6)
TmZn2GaCu4: relaxed, PBE.

Results
**Formation energy from the elements**: -1.21 eV per formula unit
**M_tot**: 0.000 μB/atom
**DOS at the Fermi energy**: 3.043 states/eV/cell
**Volume**: 15.39 Å³/atom

Unit cell a=4.2148 b=4.2148 c=8.3639 alpha=75.41 beta=75.41 gamma=60.00
Last column: nearest neighbours and their distance in Å.
Positions (direct):
Cu 0.3989 0.3989 0.8032  1 Ga 2.43, 3 Zn 2.48
Cu 0.6011 0.6011 0.1968  1 Ga 2.43, 3 Zn 2.48
Cu 0.8722 0.8722 0.3833  3 Ga 2.61, 4 Zn 2.64-2.88, 3 Cu 2.85
Cu 0.1278 0.1278 0.6167  3 Ga 2.61, 4 Zn 2.64-2.88, 3 Cu 2.85
Zn 0.7523 0.7523 0.7431  6 Cu 2.48-2.64
Zn 0.2477 0.2477 0.2569  6 Cu 2.48-2.64
Ga 0.5000 0.5000 0.5000  8 Cu 2.43-2.61
Tm 0.0000 0.0000 0.0000  8 Cu 2.90-3.07, 6 Zn 3.19

(7)
Ac2Rh2Pb3: relaxed, PBE.

Results
**Formation energy from the elements**: -3.16 eV per formula unit
**M_tot**: 0.000 μB/atom
**DOS at the Fermi energy**: 4.889 states/eV/cell
**Volume**: 26.93 Å³/atom
**Polymorph energy (0 for the lowest one)**: 5.7 meV/atom

Unit cell a=4.4814 b=5.9362 c=8.3184 alpha=111.30 beta=90.00 gamma=112.18
Last column: nearest neighbours and their distance in Å.
Positions (direct):
Pb 0.5000 0.0000 0.0000  4 Rh 2.96
Pb 0.6307 0.2613 0.4405  3 Rh 2.90-2.96
Pb 0.3693 0.7387 0.5595  3 Rh 2.90-2.96
Ac 0.1453 0.2905 0.7940  4 Rh 3.19-3.51, 2 Pb 3.56
Ac 0.8547 0.7095 0.2060  4 Rh 3.19-3.51, 2 Pb 3.56
Rh 0.8480 0.6960 0.7802  5 Pb 2.90-2.96, 3 Ac 3.19-3.22
Rh 0.1520 0.3040 0.2198  5 Pb 2.90-2.96, 3 Ac 3.19-3.22

(8)
SrYOs2: relaxed, PBE.

Results
**Formation energy from the elements**: 2.64 eV per formula unit
**M_tot**: 0.000 μB/atom
**DOS at the Fermi energy**: 2.558 states/eV/cell
**Volume**: 23.69 Å³/atom
**Polymorph energy (0 for the lowest one)**: 520.8 meV/atom

Unit cell a=4.8654 b=4.8654 c=6.5494 alpha=82.21 beta=82.21 gamma=38.14
Last column: nearest neighbours and their distance in Å.
Positions (direct):
Y 0.2500 0.2500 0.2500  6 Os 2.73-2.85
Sr 0.7500 0.7500 0.7500  2 Sr 3.18, 6 Os 3.35-3.36
Os 0.5047 0.5047 0.4179  2 Os 2.73, 3 Y 2.73-2.85
Os 0.9953 0.9953 0.0821  2 Os 2.73, 3 Y 2.73-2.85

(9)
Al2ReBiW: relaxed, PBE.

Results
**Formation energy from the elements**: 5.64 eV per formula unit
**M_tot**: 0.185 μB/atom
**DOS at the Fermi energy**: 4.211 states/eV/cell
**Volume**: 23.42 Å³/atom

Unit cell a=4.9333 b=4.8122 c=4.9333 alpha=90.00 beta=90.00 gamma=90.00
Last column: nearest neighbours and their distance in Å.
Positions (direct):
W 0.0000 0.0000 0.0000  2 Re 2.41, 4 Al 2.47
Al 0.5000 0.0000 0.0000  2 W 2.47
Al 0.0000 0.0000 0.5000  2 W 2.47
Bi 0.5000 0.5000 0.5000  8 Al 3.45, 4 Re 3.49
Re 0.0000 0.5000 0.0000  2 W 2.41

(10)
BaBrO3: relaxed, PBE.

Results
**M_tot**: 1.000 μB/atom
**DOS at the Fermi energy**: 7.838 states/eV/cell
**Formation energy without anion corrections**: 127.8 meV per atom
**Volume**: 23.62 Å³/atom

Unit cell a=4.9059 b=4.9059 c=4.9059 alpha=90.00 beta=90.00 gamma=90.00
Last column: nearest neighbours and their distance in Å.
Positions (direct):
O 0.0000 0.0000 0.5000  2 Ba 2.45
O 0.0000 0.5000 0.0000  2 Ba 2.45
O 0.5000 0.0000 0.0000  2 Ba 2.45
Ba 0.0000 0.0000 0.0000  6 O 2.45
Br 0.5000 0.5000 0.5000  12 O 3.47

(11)
InS2IN: relaxed, PBE.

Results
**M_tot**: 0.000 μB/atom
**DOS at the Fermi energy**: 8.037 states/eV/cell
**Formation energy without anion corrections**: 1123.5 meV per atom
**Volume**: 22.80 Å³/atom
**Polymorph energy (0 for the lowest one)**: 78.0 meV/atom

Unit cell a=5.2476 b=5.2476 c=4.1402 alpha=90.00 beta=90.00 gamma=90.00
Last column: nearest neighbours and their distance in Å.
Positions (direct):
I 0.5000 0.5000 0.5000  8 S 3.34, 4 N 3.71
S 0.0000 0.5000 0.0000  2 In 2.62
S 0.5000 0.0000 0.0000  2 In 2.62
N 0.0000 0.0000 0.5000  2 In 2.07
In 0.0000 0.0000 0.0000  2 N 2.07

(12)
NaCaW2: relaxed, PBE.

Results
**Formation energy from the elements**: 8.18 eV per formula unit
**M_tot**: 0.000 μB/atom
**DOS at the Fermi energy**: 6.359 states/eV/cell
**Volume**: 20.10 Å³/atom
**Polymorph energy (0 for the lowest one)**: 253.7 meV/atom

Unit cell a=4.8449 b=4.8449 c=4.8449 alpha=60.00 beta=60.00 gamma=60.00
Last column: nearest neighbours and their distance in Å.
Positions (direct):
W 0.2500 0.2500 0.2500  4 Na 2.97, 4 Ca 2.97
W 0.7500 0.7500 0.7500  4 Na 2.97, 4 Ca 2.97
Na 0.0000 0.0000 0.0000  8 W 2.97
Ca 0.5000 0.5000 0.5000  8 W 2.97